(1)
Compound: NbH4
Source: the Alexandria database
Functional: PBE
Structure: relaxed

Unit cell a=3.602 b=3.602 c=3.602 alpha=90.00 beta=90.00 gamma=90.00
Space group Pm-3m (No. 221)
Symmetry-distinct sites (fractional):
Nb: 0.000 0.000 0.000 x1
H: 0.000 0.000 0.500 x3
H: 0.500 0.500 0.500 x1

Properties
The calculation puts the density of states at the Fermi level at 2.25 states/eV/cell.


(2)
Compound: NbH4
Source: the Alexandria database
Functional: PBE
Structure: relaxed

Unit cell a=4.329 b=4.329 c=4.329 alpha=90.00 beta=90.00 gamma=90.00
Space group Im-3m (No. 229)
Symmetry-distinct sites (fractional):
Nb: 0.000 0.000 0.000 x2
H: 0.250 0.250 0.250 x8

Properties
The calculation puts the density of states at the Fermi level at 3.53 states/eV/cell.


Short version: (2) is the most stable of them.


(1)
Compound: NbNi3H
Source: the Alexandria database
Functional: PBE
Structure: relaxed

Unit cell a=3.753 b=3.753 c=3.753 alpha=90.00 beta=90.00 gamma=90.00
Space group Pm-3m (No. 221)
Symmetry-distinct sites (fractional):
Nb: 0.000 0.000 0.000 x1
Ni: 0.000 0.500 0.500 x3
H: 0.500 0.500 0.500 x1

Properties
The calculation puts the density of states at the Fermi level at 4.88 states/eV/cell.


(2)
Compound: NbNi3H
Source: the Alexandria database
Functional: PBE
Structure: relaxed

Unit cell a=9.296 b=5.127 c=4.395 alpha=90.00 beta=90.57 gamma=90.00
Space group C2/m (No. 12)
Symmetry-distinct sites (fractional):
Nb: 0.179 0.000 0.237 x4
Ni: 0.081 0.249 0.751 x8
Ni: 0.167 0.500 0.249 x4
H: 0.000 0.000 0.500 x2
H: 0.000 0.500 0.500 x2

Properties
The calculation puts the density of states at the Fermi level at 9.76 states/eV/cell.


(3)
Compound: NbNi3H
Source: the Alexandria database
Functional: PBE
Structure: relaxed

Unit cell a=4.590 b=4.590 c=4.590 alpha=90.00 beta=90.00 gamma=90.00
Space group Pm-3m (No. 221)
Symmetry-distinct sites (fractional):
Nb: 0.000 0.000 0.000 x1
Ni: 0.000 0.000 0.500 x3
H: 0.500 0.500 0.500 x1

Properties
The calculation puts the density of states at the Fermi level at 6.25 states/eV/cell.


Short version: (2) is the most stable of them.


(1)
Compound: NbNiH
Source: the Alexandria database
Functional: PBE
Structure: relaxed

Unit cell a=4.527 b=2.927 c=4.687 alpha=90.00 beta=90.00 gamma=90.00
Space group Pmma (No. 51)
Symmetry-distinct sites (fractional):
Nb: 0.250 0.000 0.209 x2
Ni: 0.250 0.500 0.668 x2
H: 0.000 0.500 0.000 x2

Properties
The calculation puts the density of states at the Fermi level at 4.68 states/eV/cell.


(2)
Compound: NbNiH
Source: the Alexandria database
Functional: PBE
Structure: relaxed

Unit cell a=2.799 b=10.293 c=4.269 alpha=90.00 beta=90.00 gamma=90.00
Space group Cmcm (No. 63)
Symmetry-distinct sites (fractional):
Nb: 0.000 0.157 0.250 x4
Ni: 0.000 0.435 0.250 x4
H: 0.000 0.191 0.750 x4

Properties
The calculation puts the density of states at the Fermi level at 6.99 states/eV/cell.


(3)
Compound: NbNiH
Source: the Alexandria database
Functional: PBE
Structure: relaxed

Unit cell a=4.776 b=2.716 c=4.854 alpha=90.00 beta=101.28 gamma=90.00
Space group P2/m (No. 10)
Symmetry-distinct sites (fractional):
Nb: 0.226 0.000 0.297 x2
Ni: 0.293 0.500 0.795 x2
H: 0.000 0.500 0.000 x1
H: 0.500 0.000 0.000 x1

Properties
The calculation puts the density of states at the Fermi level at 3.71 states/eV/cell.


Short version: (2) is the most stable of them.


(1)
Compound: NbNiH
Source: the Alexandria database
Functional: PBE
Structure: relaxed

Unit cell a=4.143 b=3.572 c=4.257 alpha=90.00 beta=90.00 gamma=90.00
Space group Pmma (No. 51)
Symmetry-distinct sites (fractional):
Nb: 0.250 0.000 0.238 x2
Ni: 0.250 0.500 0.695 x2
H: 0.250 0.000 0.756 x2

Properties
The calculation puts the density of states at the Fermi level at 2.50 states/eV/cell.


(2)
Compound: NbNiH
Source: the Alexandria database
Functional: PBE
Structure: relaxed

Unit cell a=2.8424 b=2.8424 c=4.5026 alpha=90.00 beta=90.00 gamma=120.00
Space group P3m1 (No. 156)
Symmetry-distinct sites (fractional):
Nb: 0.0000 0.0000 0.0000 x1
Ni: 0.6667 0.3333 0.5135 x1
H: 0.3333 0.6667 0.3099 x1

Properties
The calculation puts the density of states at the Fermi level at 1.48 states/eV/cell.


Short version: (1) is the most stable of them.


(1)
Compound: NbNiH
Source: the Alexandria database
Functional: PBE
Structure: relaxed

Unit cell a=3.079 b=3.079 c=6.749 alpha=90.00 beta=90.00 gamma=90.00
Space group P4/nmm (No. 129, origin choice 2)
Symmetry-distinct sites (fractional):
Nb: 0.250 0.250 0.195 x2
Ni: 0.250 0.250 0.590 x2
H: 0.250 0.750 0.000 x2

Properties
The calculation puts the density of states at the Fermi level at 3.44 states/eV/cell.


(2)
Compound: NbNiH
Source: the Alexandria database
Functional: PBE
Structure: relaxed

Unit cell a=10.540 b=2.722 c=4.322 alpha=90.00 beta=91.28 gamma=90.00
Space group Cm (No. 8)
Symmetry-distinct sites (fractional):
Nb: 0.000 0.000 0.000 x2
Nb: 0.171 0.500 0.512 x2
Ni: 0.274 0.000 0.002 x2
Ni: 0.404 0.000 0.508 x2
H: 0.149 0.500 0.011 x2
H: 0.347 0.500 0.294 x2

Properties
The calculation puts the density of states at the Fermi level at 7.29 states/eV/cell.


(3)
Compound: NbNiH
Source: the Alexandria database
Functional: PBE
Structure: relaxed

Unit cell a=9.879 b=2.750 c=4.783 alpha=90.00 beta=107.39 gamma=90.00
Space group C2/m (No. 12)
Symmetry-distinct sites (fractional):
Nb: 0.104 0.000 0.320 x4
Ni: 0.143 0.500 0.841 x4
H: 0.249 0.500 0.239 x4

Properties
The calculation puts the density of states at the Fermi level at 7.91 states/eV/cell.


Short version: (1) is the most stable of them.


(1)
Compound: NbNiH
Source: the Alexandria database
Functional: PBE
Structure: relaxed

Unit cell a=4.723 b=2.787 c=4.776 alpha=90.00 beta=100.46 gamma=90.00
Space group P2/m (No. 10)
Symmetry-distinct sites (fractional):
Nb: 0.241 0.000 0.279 x2
Ni: 0.296 0.500 0.795 x2
H: 0.000 0.500 0.000 x1
H: 0.000 0.500 0.500 x1

Properties
The calculation puts the density of states at the Fermi level at 3.62 states/eV/cell.


(2)
Compound: NbNiH
Source: the Alexandria database
Functional: PBE
Structure: relaxed

Unit cell a=2.913 b=2.913 c=3.683 alpha=90.00 beta=90.00 gamma=90.00
Space group P4/mmm (No. 123)
Symmetry-distinct sites (fractional):
Nb: 0.000 0.000 0.000 x1
Ni: 0.500 0.500 0.500 x1
H: 0.500 0.500 0.000 x1

Properties
The calculation puts the density of states at the Fermi level at 2.24 states/eV/cell.


(3)
Compound: NbNiH
Source: the Alexandria database
Functional: PBE
Structure: relaxed

Unit cell a=4.781 b=2.751 c=9.425 alpha=90.00 beta=90.00 gamma=90.00
Space group Pnma (No. 62)
Symmetry-distinct sites (fractional):
Nb: 0.091 0.250 0.145 x4
Ni: 0.088 0.750 0.392 x4
H: 0.241 0.250 0.500 x4

Properties
The calculation puts the density of states at the Fermi level at 7.37 states/eV/cell.


Short version: (1) is the most stable of them.


(1)
Compound: Nb2NiHOs
Source: the Alexandria database
Functional: PBE
Structure: relaxed

Unit cell a=4.129 b=4.129 c=3.724 alpha=90.00 beta=90.00 gamma=90.00
Space group P4/mmm (No. 123)
Symmetry-distinct sites (fractional):
Nb: 0.000 0.500 0.000 x2
Ni: 0.000 0.000 0.500 x1
H: 0.000 0.000 0.000 x1
Os: 0.500 0.500 0.500 x1

Properties
The calculation puts the density of states at the Fermi level at 2.04 states/eV/cell.


(2)
Compound: Nb2NiHOs
Source: the Alexandria database
Functional: PBE
Structure: relaxed

Unit cell a=4.067 b=4.067 c=3.877 alpha=90.00 beta=90.00 gamma=90.00
Space group P4/mmm (No. 123)
Symmetry-distinct sites (fractional):
Nb: 0.000 0.500 0.000 x2
Ni: 0.000 0.000 0.500 x1
H: 0.500 0.500 0.000 x1
Os: 0.500 0.500 0.500 x1

Properties
The calculation puts the density of states at the Fermi level at 2.70 states/eV/cell.


Short version: (1) is the most stable of them.


(1)
Compound: Nb2NiHPd
Source: the Alexandria database
Functional: PBE
Structure: relaxed

Unit cell a=4.027 b=4.027 c=4.016 alpha=90.00 beta=90.00 gamma=90.00
Space group P4/mmm (No. 123)
Symmetry-distinct sites (fractional):
Nb: 0.000 0.500 0.000 x2
Ni: 0.000 0.000 0.500 x1
H: 0.500 0.500 0.000 x1
Pd: 0.500 0.500 0.500 x1

Properties
The calculation puts the density of states at the Fermi level at 4.37 states/eV/cell.


(2)
Compound: Nb2NiHPd
Source: the Alexandria database
Functional: PBE
Structure: relaxed

Unit cell a=4.050 b=4.050 c=3.935 alpha=90.00 beta=90.00 gamma=90.00
Space group P4/mmm (No. 123)
Symmetry-distinct sites (fractional):
Nb: 0.000 0.500 0.000 x2
Ni: 0.000 0.000 0.500 x1
H: 0.000 0.000 0.000 x1
Pd: 0.500 0.500 0.500 x1

Properties
The calculation puts the density of states at the Fermi level at 4.67 states/eV/cell.


Short version: (2) is the most stable of them.